[1]
## CoPt2Se (PBE-GGA)

Data for crystalline CoPt2Se at its relaxed geometry.

POSCAR file:
```
CoPt2Se
1.0
2.816 0.000 0.000
0.000 4.690 0.000
0.000 0.000 4.695
Co Pt Se
1 2 1
Direct
0.000 0.000 0.000
0.000 0.500 0.500
0.500 0.500 0.000
0.500 0.000 0.500
```

## Properties
formation energy (no corrections)	244	meV/atom
final energy	-21.7	eV/cell
magnetic moment	2.11	Bohr magnetons per cell

[2]
## Zn2PdPbC (PBE-GGA)

Data for crystalline Zn2PdPbC at its relaxed geometry.

POSCAR file:
```
Zn2PdPbC
1.0
4.240 0.000 0.000
0.000 4.240 0.000
0.000 0.000 4.544
Zn Pd Pb C
2 1 1 1
Direct
0.000 0.500 0.000
0.500 0.000 0.000
0.000 0.000 0.500
0.500 0.500 0.500
0.000 0.000 0.000
```

## Properties
final energy	-18.2	eV/cell
magnetic moment	0.00	Bohr magnetons per cell
energy relative to the elements	0.49	eV/atom

[3]
## LaYNi2 (PBE-GGA)

Data for crystalline LaYNi2 at its relaxed geometry.

POSCAR file:
```
LaYNi2
1.0
0.000 3.473 3.473
3.473 0.000 3.473
3.473 3.473 0.000
La Y Ni
1 1 2
Direct
0.000 0.000 0.000
0.500 0.500 0.500
0.250 0.250 0.250
0.750 0.750 0.750
```

## Properties
final energy	-24.1	eV/cell
magnetic moment	0.00	Bohr magnetons per cell
energy relative to the elements	-0.28	eV/atom

[4]
## KIn2GePb (PBE-GGA)

Data for crystalline KIn2GePb at its relaxed geometry.

POSCAR file:
```
KIn2GePb
1.0
5.808 0.000 0.000
0.000 5.808 0.000
0.000 0.000 6.588
K In Ge Pb
1 2 1 1
Direct
0.000 0.000 0.000
0.000 0.500 0.500
0.500 0.000 0.500
0.500 0.500 0.000
0.000 0.000 0.500
```

## Properties
final energy	-11.6	eV/cell
magnetic moment	1.99	Bohr magnetons per cell
energy relative to the elements	0.66	eV/atom

[5]
## Cs2NpHg2Cl4 (PBE-GGA)

Data for crystalline Cs2NpHg2Cl4 at its relaxed geometry.

POSCAR file:
```
Cs2NpHg2Cl4
1.0
-4.247 4.247 4.698
4.247 -4.247 4.698
4.247 4.247 -4.698
Cs Np Hg Cl
2 1 2 4
Direct
0.250 0.750 0.500
0.750 0.250 0.500
0.000 0.000 0.000
0.343 0.343 0.000
0.657 0.657 0.000
0.226 0.226 0.453
0.226 0.774 0.000
0.774 0.226 0.000
0.774 0.774 0.547
```

## Properties
formation energy (no corrections)	-1276	meV/atom
final energy	-34.1	eV/cell
magnetic moment	4.70	Bohr magnetons per cell

[6]
## CeBiPtO6 (PBE-GGA)

Data for crystalline CeBiPtO6 at its relaxed geometry.

POSCAR file:
```
CeBiPtO6
1.0
5.548 0.000 0.000
-2.774 4.805 0.000
0.000 0.000 9.777
Ce Bi Pt O
2 2 2 12
Direct
0.333 0.667 0.250
0.667 0.333 0.750
0.000 0.000 0.000
0.000 0.000 0.500
0.333 0.667 0.750
0.667 0.333 0.250
0.031 0.364 0.633
0.031 0.667 0.867
0.333 0.364 0.867
0.333 0.969 0.633
0.364 0.031 0.133
0.364 0.333 0.367
0.636 0.667 0.633
0.636 0.969 0.867
0.667 0.031 0.367
0.667 0.636 0.133
0.969 0.333 0.133
0.969 0.636 0.367
```

## Properties
formation energy (no corrections)	-1553	meV/atom
final energy	-119.2	eV/cell
magnetic moment	0.00	Bohr magnetons per cell

[7]
## Cs4SmHo3Se8 (PBE-GGA)

Data for crystalline Cs4SmHo3Se8 at its relaxed geometry.

POSCAR file:
```
Cs4SmHo3Se8
1.0
4.276 2.469 8.377
-4.276 2.469 8.377
0.000 -4.937 8.377
Cs Sm Ho Se
4 1 3 8
Direct
0.000 0.000 0.000
0.000 0.500 0.500
0.500 0.000 0.500
0.500 0.500 0.000
0.500 0.500 0.500
0.000 0.000 0.500
0.000 0.500 0.000
0.500 0.000 0.000
0.223 0.731 0.731
0.228 0.228 0.228
0.269 0.269 0.777
0.269 0.777 0.269
0.731 0.223 0.731
0.731 0.731 0.223
0.772 0.772 0.772
0.777 0.269 0.269
```

## Properties
formation energy (no corrections)	-1723	meV/atom
final energy	-77.3	eV/cell
magnetic moment	0.00	Bohr magnetons per cell

[8]
## LaGd2Rh (PBE-GGA)

Data for crystalline LaGd2Rh at its relaxed geometry.

POSCAR file:
```
LaGd2Rh
1.0
3.546 0.000 0.000
0.000 3.546 0.000
0.000 0.000 8.902
La Gd Rh
1 2 1
Direct
0.000 0.000 0.000
0.500 0.500 0.316
0.500 0.500 0.684
0.000 0.000 0.500
```

## Properties
final energy	-42.0	eV/cell
magnetic moment	14.40	Bohr magnetons per cell
energy relative to the elements	-0.38	eV/atom

[9]
## Cs2LaIr (PBE-GGA)

Data for crystalline Cs2LaIr at its relaxed geometry.

POSCAR file:
```
Cs2LaIr
1.0
0.000 3.950 3.950
3.950 0.000 3.950
3.950 3.950 0.000
Cs La Ir
2 1 1
Direct
0.250 0.250 0.250
0.750 0.750 0.750
0.000 0.000 0.000
0.500 0.500 0.500
```

## Properties
final energy	-11.1	eV/cell
magnetic moment	0.00	Bohr magnetons per cell
energy relative to the elements	1.09	eV/atom

[10]
## Ho2In3Pb3 (PBE-GGA)

Data for crystalline Ho2In3Pb3 at its relaxed geometry.

POSCAR file:
```
Ho2In3Pb3
1.0
4.648 0.000 0.000
0.000 5.014 0.000
0.000 0.000 9.250
Ho In Pb
2 3 3
Direct
0.000 0.000 0.246
0.000 0.000 0.754
0.000 0.500 0.000
0.500 0.500 0.242
0.500 0.500 0.758
0.000 0.500 0.500
0.500 0.000 0.000
0.500 0.000 0.500
```

## Properties
final energy	-31.0	eV/cell
magnetic moment	0.00	Bohr magnetons per cell
energy relative to the elements	-0.31	eV/atom

[11]
## Pr2CuSn3 (PBE-GGA)

Data for crystalline Pr2CuSn3 at its relaxed geometry.

POSCAR file:
```
Pr2CuSn3
1.0
5.838 -2.306 0.000
5.838 2.306 0.000
-4.887 0.000 5.773
Pr Cu Sn
2 1 3
Direct
0.000 0.000 0.000
0.120 0.120 0.634
0.732 0.732 0.410
0.374 0.374 0.575
0.443 0.443 0.230
0.719 0.719 0.030
```

## Properties
final energy	-29.0	eV/cell
magnetic moment	0.00	Bohr magnetons per cell
energy relative to the elements	-0.56	eV/atom

[12]
## KGe6P8 (PBE-GGA)

Data for crystalline KGe6P8 at its relaxed geometry.

POSCAR file:
```
KGe6P8
1.0
4.697 2.712 5.004
-4.697 2.712 5.004
0.000 -5.424 5.004
K Ge P
1 6 8
Direct
0.000 0.000 0.000
0.147 0.334 0.530
0.334 0.530 0.147
0.470 0.853 0.666
0.530 0.147 0.334
0.666 0.470 0.853
0.853 0.666 0.470
0.190 0.659 0.425
0.231 0.231 0.231
0.341 0.575 0.810
0.425 0.190 0.659
0.575 0.810 0.341
0.659 0.425 0.190
0.769 0.769 0.769
0.810 0.341 0.575
```

## Properties
final energy	-70.0	eV/cell
magnetic moment	0.00	Bohr magnetons per cell
energy relative to the elements	0.14	eV/atom

[13]
## NaNdIn (PBE-GGA)

Data for crystalline NaNdIn at its relaxed geometry.

POSCAR file:
```
NaNdIn
1.0
5.405 0.000 0.000
-2.702 4.681 0.000
0.000 0.000 3.382
Na Nd In
1 1 1
Direct
0.000 0.000 0.000
0.667 0.333 0.499
0.333 0.667 0.998
```

## Properties
final energy	-9.3	eV/cell
magnetic moment	0.00	Bohr magnetons per cell
energy relative to the elements	-0.16	eV/atom

[14]
## MgVCr3 (PBE-GGA)

Data for crystalline MgVCr3 at its relaxed geometry.

POSCAR file:
```
MgVCr3
1.0
4.935 0.000 0.000
0.000 4.935 0.000
0.000 0.000 4.935
Mg V Cr
1 1 3
Direct
0.000 0.000 0.000
0.500 0.500 0.500
0.000 0.000 0.500
0.000 0.500 0.000
0.500 0.000 0.000
```

## Properties
final energy	-29.2	eV/cell
magnetic moment	16.90	Bohr magnetons per cell
energy relative to the elements	2.08	eV/atom

[15]
## DyGaBr (PBE-GGA)

Data for crystalline DyGaBr at its relaxed geometry.

POSCAR file:
```
DyGaBr
1.0
3.575 -2.064 0.000
3.575 2.064 0.000
-2.479 0.000 11.403
Dy Ga Br
2 2 2
Direct
0.062 0.062 0.179
0.938 0.938 0.821
0.344 0.344 0.030
0.656 0.656 0.970
0.218 0.218 0.667
0.782 0.782 0.333
```

## Properties
formation energy (no corrections)	-1214	meV/atom
final energy	-25.9	eV/cell
magnetic moment	0.00	Bohr magnetons per cell

[16]
## Si2SbCl (PBE-GGA)

Data for crystalline Si2SbCl at its relaxed geometry.

POSCAR file:
```
Si2SbCl
1.0
1.859 -2.832 0.000
1.859 2.832 0.000
0.000 0.000 8.672
Si Sb Cl
2 1 1
Direct
0.000 0.000 0.000
0.500 0.500 0.183
0.500 0.500 0.776
0.000 0.000 0.387
```

## Properties
formation energy (no corrections)	236	meV/atom
final energy	-15.9	eV/cell
magnetic moment	0.00	Bohr magnetons per cell

[17]
## AlOsAu2 (PBE-GGA)

Data for crystalline AlOsAu2 at its relaxed geometry.

POSCAR file:
```
AlOsAu2
1.0
-1.984 1.984 4.098
1.984 -1.984 4.098
1.984 1.984 -4.098
Al Os Au
1 1 2
Direct
0.000 0.000 0.000
0.500 0.500 0.000
0.250 0.750 0.500
0.750 0.250 0.500
```

## Properties
final energy	-20.4	eV/cell
magnetic moment	0.00	Bohr magnetons per cell
energy relative to the elements	0.28	eV/atom

[18]
## TbSm3Tl (PBE-GGA)

Data for crystalline TbSm3Tl at its relaxed geometry.

POSCAR file:
```
TbSm3Tl
1.0
2.438 -12.868 0.000
2.438 12.868 0.000
0.000 0.000 4.882
Tb Sm Tl
2 6 2
Direct
0.150 0.850 0.750
0.850 0.150 0.250
0.052 0.948 0.250
0.249 0.751 0.250
0.448 0.552 0.250
0.552 0.448 0.750
0.751 0.249 0.750
0.948 0.052 0.750
0.347 0.653 0.750
0.653 0.347 0.250
```

## Properties
final energy	-43.6	eV/cell
magnetic moment	0.00	Bohr magnetons per cell
energy relative to the elements	-0.13	eV/atom

[19]
## Pm6Cd5Ir (PBE-GGA)

Data for crystalline Pm6Cd5Ir at its relaxed geometry.

POSCAR file:
```
Pm6Cd5Ir
1.0
8.348 -3.852 0.000
8.348 3.852 0.000
-1.669 0.000 5.017
Pm Cd Ir
6 5 1
Direct
0.077 0.616 0.346
0.223 0.777 0.000
0.384 0.923 0.654
0.616 0.077 0.346
0.777 0.223 0.000
0.923 0.384 0.654
0.189 0.189 0.188
0.332 0.332 0.832
0.500 0.500 0.500
0.668 0.668 0.168
0.811 0.811 0.812
0.000 0.000 0.500
```

## Properties
final energy	-46.7	eV/cell
magnetic moment	0.00	Bohr magnetons per cell
energy relative to the elements	-0.40	eV/atom

[20]
## Ac15Pr4In (PBE-GGA)

Data for crystalline Ac15Pr4In at its relaxed geometry.

POSCAR file:
```
Ac15Pr4In
1.0
5.508 0.000 0.000
0.000 5.508 0.000
0.000 0.000 27.662
Ac Pr In
15 4 1
Direct
0.000 0.000 0.000
0.000 0.000 0.198
0.000 0.000 0.399
0.000 0.000 0.601
0.000 0.000 0.802
0.000 0.500 0.096
0.000 0.500 0.298
0.000 0.500 0.500
0.000 0.500 0.702
0.000 0.500 0.904
0.500 0.000 0.096
0.500 0.000 0.298
0.500 0.000 0.500
0.500 0.000 0.702
0.500 0.000 0.904
0.500 0.500 0.197
0.500 0.500 0.400
0.500 0.500 0.600
0.500 0.500 0.803
0.500 0.500 0.000
```

## Properties
final energy	-83.8	eV/cell
magnetic moment	0.00	Bohr magnetons per cell
energy relative to the elements	-0.02	eV/atom

[21]
## BaFeP (PBE-GGA)

Data for crystalline BaFeP at its relaxed geometry.

POSCAR file:
```
BaFeP
1.0
-1.643 1.643 5.803
1.643 -1.643 5.803
1.643 1.643 -5.803
Ba Fe P
1 1 1
Direct
0.000 0.000 0.000
0.721 0.721 0.000
0.276 0.276 0.000
```

## Properties
final energy	-15.9	eV/cell
magnetic moment	1.61	Bohr magnetons per cell
energy relative to the elements	-0.03	eV/atom

[22]
## Ac2Ga3Ni (PBE-GGA)

Data for crystalline Ac2Ga3Ni at its relaxed geometry.

POSCAR file:
```
Ac2Ga3Ni
1.0
4.319 0.000 0.000
0.000 4.555 0.000
0.000 0.000 7.634
Ac Ga Ni
2 3 1
Direct
0.000 0.000 0.000
0.500 0.000 0.485
0.000 0.500 0.320
0.000 0.500 0.660
0.500 0.500 0.839
0.500 0.500 0.163
```

## Properties
final energy	-26.3	eV/cell
magnetic moment	0.00	Bohr magnetons per cell
energy relative to the elements	-0.53	eV/atom

[23]
## Ho2ErTmSe4 (PBE-GGA)

Data for crystalline Ho2ErTmSe4 at its relaxed geometry.

POSCAR file:
```
Ho2ErTmSe4
1.0
7.028 0.000 0.000
0.000 3.988 0.000
-2.267 0.000 6.655
Ho Er Tm Se
2 1 1 4
Direct
0.000 0.000 0.000
0.000 0.500 0.500
0.500 0.000 0.500
0.500 0.500 0.000
0.253 0.000 0.752
0.253 0.500 0.250
0.747 0.000 0.248
0.747 0.500 0.750
```

## Properties
formation energy (no corrections)	-1696	meV/atom
final energy	-45.7	eV/cell
magnetic moment	0.00	Bohr magnetons per cell

[24]
## Tb8AsPt3Se4 (PBE-GGA)

Data for crystalline Tb8AsPt3Se4 at its relaxed geometry.

POSCAR file:
```
Tb8AsPt3Se4
1.0
4.051 2.339 7.039
-4.051 2.339 7.039
0.000 -4.677 7.039
Tb As Pt Se
8 1 3 4
Direct
0.240 0.749 0.749
0.244 0.244 0.244
0.251 0.251 0.760
0.251 0.760 0.251
0.749 0.240 0.749
0.749 0.749 0.240
0.756 0.756 0.756
0.760 0.251 0.251
0.500 0.500 0.500
0.000 0.000 0.500
0.000 0.500 0.000
0.500 0.000 0.000
0.000 0.000 0.000
0.000 0.500 0.500
0.500 0.000 0.500
0.500 0.500 0.000
```

## Properties
formation energy (no corrections)	-1513	meV/atom
final energy	-98.0	eV/cell
magnetic moment	0.00	Bohr magnetons per cell

[25]
## Ti2PF (PBE-GGA)

Data for crystalline Ti2PF at its relaxed geometry.

POSCAR file:
```
Ti2PF
1.0
0.000 2.986 2.986
2.986 0.000 2.986
2.986 2.986 0.000
Ti P F
2 1 1
Direct
0.250 0.250 0.250
0.750 0.750 0.750
0.000 0.000 0.000
0.500 0.500 0.500
```

## Properties
formation energy (no corrections)	-1255	meV/atom
final energy	-28.1	eV/cell
magnetic moment	0.00	Bohr magnetons per cell